Entry 1:
SrNO2F | GGA-PBEsol | optimized geometry

```
data_SrNO2F
_chemical_formula_sum 'Sr1 N1 O2 F1'
_cell_length_a 5.097
_cell_length_b 5.097
_cell_length_c 4.627
_cell_angle_alpha 90.00
_cell_angle_beta 90.00
_cell_angle_gamma 90.00
_space_group_name_H-M_alt 'P 4/m m m'
_space_group_IT_number 123
_space_group_name_Hall '-P 4 2'
loop_
_atom_site_label
_atom_site_type_symbol
_atom_site_fract_x
_atom_site_fract_y
_atom_site_fract_z
Sr1 Sr 0.000 0.000 0.000
N1 N 0.500 0.500 0.500
O1 O 0.000 0.500 0.000
F1 F 0.000 0.000 0.500
```

Calculated values
Uncorrected energy   -4.26 eV/atom

=====

Entry 2:
TlN2OF | GGA-PBEsol | optimized geometry

```
data_TlN2OF
_chemical_formula_sum 'Tl1 N2 O1 F1'
_cell_length_a 3.476
_cell_length_b 3.476
_cell_length_c 4.977
_cell_angle_alpha 90.00
_cell_angle_beta 90.00
_cell_angle_gamma 90.00
_space_group_name_H-M_alt 'P 4/m m m'
_space_group_IT_number 123
_space_group_name_Hall '-P 4 2'
loop_
_atom_site_label
_atom_site_type_symbol
_atom_site_fract_x
_atom_site_fract_y
_atom_site_fract_z
Tl1 Tl 0.000 0.000 0.000
N1 N 0.000 0.500 0.500
O1 O 0.500 0.500 0.500
F1 F 0.500 0.500 0.000
```

Calculated values
Uncorrected energy   -4.01 eV/atom

=====

Entry 3:
Zr4N3OF5 | GGA-PBEsol | optimized geometry

```
data_Zr4N3OF5
_chemical_formula_sum 'Zr16 N12 O4 F20'
_cell_length_a 5.120
_cell_length_b 5.342
_cell_length_c 21.442
_cell_angle_alpha 90.00
_cell_angle_beta 90.32
_cell_angle_gamma 90.00
_space_group_name_H-M_alt 'P 1 21/c 1'
_space_group_IT_number 14
loop_
_space_group_symop_operation_xyz
'x,y,z'
'-x,-y,-z'
'-x,y+1/2,-z+1/2'
'x,-y+1/2,z+1/2'
loop_
_atom_site_label
_atom_site_type_symbol
_atom_site_fract_x
_atom_site_fract_y
_atom_site_fract_z
Zr1 Zr 0.186 0.209 0.128
Zr2 Zr 0.190 0.733 0.750
Zr3 Zr 0.198 0.733 0.501
Zr4 Zr 0.199 0.216 0.372
N1 N 0.031 0.036 0.938
N2 N 0.041 0.006 0.686
N3 N 0.044 0.006 0.812
O1 O 0.016 0.036 0.560
F1 F 0.423 0.122 0.252
F2 F 0.430 0.629 0.651
F3 F 0.434 0.640 0.851
F4 F 0.451 0.117 0.048
F5 F 0.474 0.121 0.449
```

Calculated values
Uncorrected energy   -8.90 eV/atom

=====

Entry 4:
OsNF2 | GGA-PBEsol | optimized geometry

```
data_OsNF2
_chemical_formula_sum 'Os3 N3 F6'
_cell_length_a 2.5927
_cell_length_b 2.5927
_cell_length_c 27.2739
_cell_angle_alpha 90.00
_cell_angle_beta 90.00
_cell_angle_gamma 120.00
_space_group_name_H-M_alt 'R -3 m'
_space_group_IT_number 166
_space_group_name_Hall '-R 3 2"'
loop_
_atom_site_label
_atom_site_type_symbol
_atom_site_fract_x
_atom_site_fract_y
_atom_site_fract_z
Os1 Os 0.0000 0.0000 0.0000
N1 N 0.0000 0.0000 0.5000
F1 F 0.0000 0.0000 0.0688
```

Calculated values
Uncorrected energy   -5.56 eV/atom

=====

Entry 5:
OsN2F2 | GGA-PBEsol | optimized geometry

```
data_OsN2F2
_chemical_formula_sum 'Os1 N2 F2'
_cell_length_a 3.745
_cell_length_b 3.745
_cell_length_c 3.951
_cell_angle_alpha 90.00
_cell_angle_beta 90.00
_cell_angle_gamma 90.00
_space_group_name_H-M_alt 'P 4/m m m'
_space_group_IT_number 123
_space_group_name_Hall '-P 4 2'
loop_
_atom_site_label
_atom_site_type_symbol
_atom_site_fract_x
_atom_site_fract_y
_atom_site_fract_z
Os1 Os 0.000 0.000 0.000
N1 N 0.000 0.500 0.000
F1 F 0.000 0.000 0.500
F2 F 0.500 0.500 0.500
```

Calculated values
Uncorrected energy   -6.49 eV/atom

=====

Entry 6:
ScOsNF2 | GGA-PBEsol | optimized geometry

```
data_ScOsNF2
_chemical_formula_sum 'Sc1 Os1 N1 F2'
_cell_length_a 3.811
_cell_length_b 3.811
_cell_length_c 4.593
_cell_angle_alpha 90.00
_cell_angle_beta 90.00
_cell_angle_gamma 90.00
_space_group_name_H-M_alt 'P 4/m m m'
_space_group_IT_number 123
_space_group_name_Hall '-P 4 2'
loop_
_atom_site_label
_atom_site_type_symbol
_atom_site_fract_x
_atom_site_fract_y
_atom_site_fract_z
Sc1 Sc 0.000 0.000 0.000
Os1 Os 0.500 0.500 0.500
N1 N 0.000 0.000 0.500
F1 F 0.000 0.500 0.000
```

Calculated values
Uncorrected energy   -6.83 eV/atom

=====

Q: What is the uncorrected energy in the first record?
A: -4.26 eV/atom